Na2TmInI6 | PBE-GGA | optimized geometry

Values from the calculation:
N(E_F)	0.0	states/eV per cell
crystal system	trigonal
raw formation energy	-1.13	eV per atom
calculated volume	42.17	Å³ per atom

a b c (Å): 8.0947 8.0947 22.2938
angles (deg): 90.00 90.00 120.00
Space group R3 (No. 146, hexagonal axes)
Symmetry-distinct sites (fractional):
Na 0.0000 0.0000 0.0000 [3 per cell]
Na 0.0000 0.0000 0.4865 [3 per cell]
Tm 0.0000 0.0000 0.6744 [3 per cell]
In 0.0000 0.0000 0.1860 [3 per cell]
I 0.0085 0.3156 0.7482 [9 per cell]
I 0.0237 0.7176 0.5908 [9 per cell]